# 1
# CaTbCl6

A relaxed structure of CaTbCl6 (PBE-GGA, Alexandria via LeMat-Bulk).

final energy	-32.76	eV/cell
ΔE_f (raw)	-1881	meV per atom

abc: 6.771 6.833 7.003
angles: 67.07 62.60 61.22
Positions (direct):
1 Ca 0.000 0.000 0.000
2 Tb 0.500 0.500 0.500
3 Cl 0.078 0.755 0.728
4 Cl 0.304 0.588 0.199
5 Cl 0.377 0.136 0.715
6 Cl 0.623 0.864 0.285
7 Cl 0.696 0.412 0.801
8 Cl 0.922 0.245 0.272



# 2
# Ca2TbCl

A relaxed structure of Ca2TbCl (PBE-GGA, Alexandria via LeMat-Bulk).

final energy	-13.57	eV/cell
ΔE_f (raw)	-772	meV per atom

abc: 10.401 10.401 10.401
angles: 20.71 20.71 20.71
Positions (direct):
1 Ca 0.236 0.236 0.236
2 Ca 0.764 0.764 0.764
3 Tb 0.000 0.000 0.000
4 Cl 0.500 0.500 0.500



# 3
# CaTc2Cl

A relaxed structure of CaTc2Cl (PBE-GGA, Alexandria via LeMat-Bulk).

distance to the lowest polymorph of the same formula	0.863	eV per atom
final energy	-22.15	eV/cell
ΔE_f (raw)	609	meV per atom

abc: 4.630 4.630 4.630
angles: 60.00 60.00 60.00
Positions (direct):
1 Ca 0.000 0.000 0.000
2 Tc 0.250 0.250 0.250
3 Tc 0.500 0.500 0.500
4 Cl 0.750 0.750 0.750